First-principles (GGA-PBE) data for crystalline NiPt at its relaxed geometry, as listed in the Alexandria database.

a b c (Å): 4.2672 4.2672 4.2672
angles (deg): 59.99 59.99 59.99
Each line ends with the local moment (μB).
Element x y z (fractional)
Ni 0.3750 0.3750 0.3750  0.22
Ni 0.6250 0.6250 0.6250  0.22
Pt 0.1250 0.1250 0.1250  0.04
Pt 0.8750 0.8750 0.8750  0.04

Values from the calculation:
- DOS at the Fermi energy: 2.67 states/eV/f.u.
- E_tot: -5.82 eV per atom
- E_form: 0.2 eV per formula unit
- Space-group type: Fd-3m
- Density: 15.342 g cm⁻³
- Total magnetization: 0.5 Bohr magnetons per cell